1.
The following is a DFT calculation (PBE-GGA) of an optimized crystal structure of Ca2GaPt.

Values from the calculation:
The value obtained for the relative energy among the computed polymorphs is 8.79 kJ/mol of atoms. For the energy relative to the elements, the calculation gives -649 meV/atom. The total magnetization comes out at 0.000 μB per atom.

abc: 3.6147 3.6147 7.0404
angles: 90.00 90.00 90.00
Closest atoms and distances in Å follow each position.
Atoms (fractional coordinates):
Ca1 0.0000 0.0000 0.7657  4 Pt 3.04, 4 Ga 3.17, 1 Ca 3.30
Ca2 0.0000 0.0000 0.2343  4 Pt 3.04, 4 Ga 3.17, 1 Ca 3.30
Ga1 0.5000 0.5000 0.5000  8 Ca 3.17, 2 Pt 3.52
Pt1 0.5000 0.5000 0.0000  8 Ca 3.04


2.
The following is a DFT calculation (PBE-GGA) of an optimized crystal structure of Ca3Ga4Pt2.

Values from the calculation:
For the energy relative to the elements, the calculation gives -752 meV/atom. The total magnetization comes out at 0.000 μB per atom.

abc: 4.3442 5.8109 8.8203
angles: 71.94 75.74 68.05
Closest atoms and distances in Å follow each position.
Atoms (fractional coordinates):
Ca1 0.3700 0.5743 0.6858  3 Pt 3.10-3.16, 8 Ga 3.11-3.30, 1 Ca 3.46
Ca2 0.0000 0.0000 0.0000  6 Ga 3.13-3.23, 4 Pt 3.38
Ca3 0.6300 0.4257 0.3142  3 Pt 3.10-3.16, 8 Ga 3.11-3.30, 1 Ca 3.46
Ga1 0.2769 0.3851 0.0611  1 Pt 2.52, 2 Ga 2.59
Ga2 0.7231 0.6149 0.9389  1 Pt 2.52, 2 Ga 2.59
Ga3 0.1187 0.1892 0.5733  3 Pt 2.53-2.74
Ga4 0.8813 0.8108 0.4267  3 Pt 2.53-2.74
Pt1 0.3468 0.0050 0.3014  4 Ga 2.52-2.74
Pt2 0.6532 0.9950 0.6986  4 Ga 2.52-2.74


3.
The following is a DFT calculation (PBE-GGA) of an optimized crystal structure of Ca3Ga2Pt6.

Values from the calculation:
For the energy relative to the elements, the calculation gives -891 meV/atom. The total magnetization comes out at 0.000 μB per atom.

abc: 8.3003 8.3003 8.3003
angles: 109.47 109.47 109.47
Closest atoms and distances in Å follow each position.
Atoms (fractional coordinates):
Ca1 0.6957 0.0000 0.6957  8 Pt 3.06-3.08, 4 Ga 3.43
Ca2 0.3043 0.0000 0.3043  8 Pt 3.06-3.08, 4 Ga 3.43
Ca3 0.0000 0.3043 0.3043  8 Pt 3.06-3.08, 4 Ga 3.43
Ca4 0.0000 0.6957 0.6957  8 Pt 3.06-3.08, 4 Ga 3.43
Ca5 0.3043 0.3043 0.0000  8 Pt 3.06-3.08, 4 Ga 3.43
Ca6 0.6957 0.6957 0.0000  8 Pt 3.06-3.08, 4 Ga 3.43
Ga1 0.0000 0.5000 0.0000  6 Pt 2.58
Ga2 0.5000 0.0000 0.0000  6 Pt 2.58
Ga3 0.0000 0.0000 0.5000  6 Pt 2.58
Ga4 0.5000 0.5000 0.5000  6 Pt 2.58
Pt1 0.6787 0.3574 0.6787  2 Ga 2.58, 4 Pt 2.78
Pt2 0.6787 0.0000 0.3213  2 Ga 2.58, 4 Pt 2.78
Pt3 0.3213 0.0000 0.6787  2 Ga 2.58, 4 Pt 2.78
Pt4 0.3213 0.6426 0.3213  2 Ga 2.58, 4 Pt 2.78
Pt5 0.0000 0.6787 0.3213  2 Ga 2.58, 4 Pt 2.78
Pt6 0.6426 0.3213 0.3213  2 Ga 2.58, 4 Pt 2.78
Pt7 0.3574 0.6787 0.6787  2 Ga 2.58, 4 Pt 2.78
Pt8 0.0000 0.3213 0.6787  2 Ga 2.58, 4 Pt 2.78
Pt9 0.3213 0.6787 0.0000  2 Ga 2.58, 4 Pt 2.78
Pt10 0.6787 0.6787 0.3574  2 Ga 2.58, 4 Pt 2.78
Pt11 0.3213 0.3213 0.6426  2 Ga 2.58, 4 Pt 2.78
Pt12 0.6787 0.3213 0.0000  2 Ga 2.58, 4 Pt 2.78


4.
The following is a DFT calculation (PBE-GGA) of an optimized crystal structure of CaGa8Pt2.

Values from the calculation:
For the energy relative to the elements, the calculation gives -177 meV/atom. The total magnetization comes out at 0.000 μB per atom.

abc: 5.8240 5.8240 7.9538
angles: 90.00 90.00 90.00
Closest atoms and distances in Å follow each position.
Atoms (fractional coordinates):
Ca1 0.5000 0.5000 0.5000  8 Ga 3.18
Ga1 0.7553 0.7553 0.2005  2 Pt 2.60, 2 Ga 2.85
Ga2 0.7553 0.2447 0.7995  2 Pt 2.60, 2 Ga 2.85
Ga3 0.7553 0.7553 0.7995  2 Pt 2.60, 2 Ga 2.85
Ga4 0.7553 0.2447 0.2005  2 Pt 2.60, 2 Ga 2.85
Ga5 0.2447 0.7553 0.2005  2 Pt 2.60, 2 Ga 2.85
Ga6 0.2447 0.7553 0.7995  2 Pt 2.60, 2 Ga 2.85
Ga7 0.2447 0.2447 0.2005  2 Pt 2.60, 2 Ga 2.85
Ga8 0.2447 0.2447 0.7995  2 Pt 2.60, 2 Ga 2.85
Pt1 0.5000 0.0000 0.0000  8 Ga 2.60
Pt2 0.0000 0.5000 0.0000  8 Ga 2.60


5.
The following is a DFT calculation (PBE-GGA) of an optimized crystal structure of CaGaPt2.

Values from the calculation:
For the energy relative to the elements, the calculation gives -704 meV/atom. The total magnetization comes out at 0.000 μB per atom.

abc: 3.1039 3.1039 7.3839
angles: 90.00 90.00 90.00
Closest atoms and distances in Å follow each position.
Atoms (fractional coordinates):
Ca1 0.5000 0.5000 0.5000  8 Pt 3.09, 4 Ca 3.10
Ga1 0.5000 0.5000 0.0000  8 Pt 2.67
Pt1 0.0000 0.0000 0.7947  4 Ga 2.67
Pt2 0.0000 0.0000 0.2053  4 Ga 2.67


6.
The following is a DFT calculation (PBE-GGA) of an optimized crystal structure of CaGaPt2.

Values from the calculation:
For the energy relative to the elements, the calculation gives -497 meV/atom. The total magnetization comes out at 0.000 μB per atom.

abc: 4.9620 4.9620 9.0329
angles: 74.06 74.06 90.00
Closest atoms and distances in Å follow each position.
Atoms (fractional coordinates):
Ca1 0.5000 0.5000 0.0000  4 Pt 3.25, 4 Ga 3.51
Ca2 0.2500 0.7500 0.5000  4 Pt 3.25, 4 Ga 3.51
Ga1 0.0000 0.0000 0.0000  4 Pt 2.44
Ga2 0.7500 0.2500 0.5000  4 Pt 2.44
Pt1 0.8121 0.1250 0.2500  2 Ga 2.44, 2 Pt 2.56
Pt2 0.9379 0.6250 0.2500  2 Ga 2.44, 2 Pt 2.56
Pt3 0.3750 0.1879 0.7500  2 Ga 2.44, 2 Pt 2.56
Pt4 0.8750 0.0621 0.7500  2 Ga 2.44, 2 Pt 2.56


7.
The following is a DFT calculation (PBE-GGA) of an optimized crystal structure of CaGa4Pt.

Values from the calculation:
For the energy relative to the elements, the calculation gives -586 meV/atom. The total magnetization comes out at 0.000 μB per atom.

abc: 4.3302 6.7109 8.1291
angles: 90.00 105.56 90.00
Closest atoms and distances in Å follow each position.
Atoms (fractional coordinates):
Ca1 0.1263 0.2506 0.2539  5 Ga 2.93-3.05, 2 Pt 3.22-3.23
Ca2 0.8751 0.7505 0.7433  5 Ga 2.93-3.05, 2 Pt 3.22-3.23
Ga1 0.6767 0.5486 0.3536  3 Pt 2.57-2.64, 2 Ga 2.71-2.80
Ga2 0.9417 0.2506 0.8799  1 Pt 2.51
Ga3 0.3248 0.0486 0.6436  3 Pt 2.57-2.64, 2 Ga 2.71-2.80
Ga4 0.5009 0.0006 0.9987  6 Ga 2.80-2.89
Ga5 0.0603 0.7506 0.1173  1 Pt 2.51
Ga6 0.3248 0.4526 0.6436  3 Pt 2.57-2.64, 2 Ga 2.71-2.80
Ga7 0.6767 0.9526 0.3536  3 Pt 2.57-2.64, 2 Ga 2.71-2.80
Ga8 0.5009 0.5006 0.9987  6 Ga 2.80-2.89
Pt1 0.7818 0.2506 0.5594  7 Ga 2.51-2.64
Pt2 0.2197 0.7506 0.4379  7 Ga 2.51-2.64


8.
The following is a DFT calculation (PBE-GGA) of an optimized crystal structure of CaGaPt3.

Values from the calculation:
For the energy relative to the elements, the calculation gives -708 meV/atom. The total magnetization comes out at 0.000 μB per atom.

abc: 5.5265 8.9665 6.4752
angles: 133.82 115.26 90.00
Closest atoms and distances in Å follow each position.
Atoms (fractional coordinates):
Ca1 0.2500 0.2480 0.5000  7 Pt 2.86-3.19
Ca2 0.7500 0.7520 0.5000  7 Pt 2.86-3.19
Ga1 0.0000 0.5000 0.0000  6 Pt 2.47-2.67
Ga2 0.5000 0.0000 0.0000  6 Pt 2.47-2.67
Pt1 0.8088 0.3088 0.1176  2 Ga 2.67, 5 Pt 2.76-2.88
Pt2 0.3088 0.3088 0.1176  2 Ga 2.67, 5 Pt 2.76-2.88
Pt3 0.6912 0.6912 0.8824  2 Ga 2.67, 5 Pt 2.76-2.88
Pt4 0.1912 0.6912 0.8824  2 Ga 2.67, 5 Pt 2.76-2.88
Pt5 0.2500 0.9288 0.5000  2 Ga 2.47
Pt6 0.7500 0.0712 0.5000  2 Ga 2.47